1.
First-principles (GGA-PBEsol) data for a relaxed structure of Li2FeI, as listed in the Alexandria database.

```
Li2FeI
1.0
6.6661 0.0000 0.0000
0.0000 6.6661 0.0000
0.0000 0.0000 6.6661
Li Fe I
8 4 4
direct
0.2500 0.2500 0.2500 Li
0.2500 0.2500 0.7500 Li
0.2500 0.7500 0.2500 Li
0.2500 0.7500 0.7500 Li
0.7500 0.2500 0.2500 Li
0.7500 0.2500 0.7500 Li
0.7500 0.7500 0.2500 Li
0.7500 0.7500 0.7500 Li
0.0000 0.0000 0.0000 Fe
0.0000 0.5000 0.5000 Fe
0.5000 0.0000 0.5000 Fe
0.5000 0.5000 0.0000 Fe
0.0000 0.0000 0.5000 I
0.0000 0.5000 0.0000 I
0.5000 0.0000 0.0000 I
0.5000 0.5000 0.5000 I
```

Summary:
Density of states at the Fermi level   22.475 states/eV/cell
Space group   Fm-3m, No. 225

---

2.
First-principles (GGA-PBEsol) data for a relaxed structure of LiFeI2, as listed in the Alexandria database.

```
LiFeI2
1.0
6.1458 0.0000 0.0000
0.0000 6.1458 0.0000
0.0000 0.0000 12.2570
Li Fe I
4 4 8
direct
0.0000 0.0000 0.0000 Li
0.0000 0.5000 0.2500 Li
0.5000 0.0000 0.7500 Li
0.5000 0.5000 0.5000 Li
0.0000 0.0000 0.5000 Fe
0.0000 0.5000 0.7500 Fe
0.5000 0.0000 0.2500 Fe
0.5000 0.5000 0.0000 Fe
0.2299 0.2500 0.6250 I
0.2500 0.7299 0.8750 I
0.2500 0.7701 0.3750 I
0.2701 0.2500 0.1250 I
0.7299 0.7500 0.1250 I
0.7500 0.2299 0.3750 I
0.7500 0.2701 0.8750 I
0.7701 0.7500 0.6250 I
```

Summary:
Density of states at the Fermi level   14.261 states/eV/cell
Space group   I-42d, No. 122

---

3.
First-principles (GGA-PBEsol) data for a relaxed structure of RbLi2FeI, as listed in the Alexandria database.

```
RbLi2FeI
1.0
6.0462 0.0000 0.0000
0.0000 6.0462 0.0000
0.0000 0.0000 6.2213
Rb Li Fe I
1 2 1 1
direct
0.0000 0.0000 0.0000 Rb
0.0000 0.5000 0.0000 Li
0.5000 0.0000 0.0000 Li
0.5000 0.5000 0.5000 Fe
0.0000 0.0000 0.5000 I
```

Summary:
Density of states at the Fermi level   10.795 states/eV/cell
Space group   P4/mmm, No. 123

---

4.
First-principles (GGA-PBEsol) data for a relaxed structure of MgFeI2, as listed in the Alexandria database.

```
MgFeI2
1.0
6.2090 0.0000 0.0000
0.0000 6.2090 0.0000
0.0000 0.0000 12.0362
Mg Fe I
4 4 8
direct
0.0000 0.0000 0.0000 Mg
0.0000 0.5000 0.2500 Mg
0.5000 0.0000 0.7500 Mg
0.5000 0.5000 0.5000 Mg
0.0000 0.0000 0.5000 Fe
0.0000 0.5000 0.7500 Fe
0.5000 0.0000 0.2500 Fe
0.5000 0.5000 0.0000 Fe
0.2087 0.2500 0.6250 I
0.2500 0.7087 0.8750 I
0.2500 0.7913 0.3750 I
0.2913 0.2500 0.1250 I
0.7087 0.7500 0.1250 I
0.7500 0.2087 0.3750 I
0.7500 0.2913 0.8750 I
0.7913 0.7500 0.6250 I
```

Summary:
Density of states at the Fermi level   12.591 states/eV/cell
Space group   I-42d, No. 122

---

5.
First-principles (GGA-PBEsol) data for a relaxed structure of MgFe3I, as listed in the Alexandria database.

```
MgFe3I
1.0
4.5858 0.0000 0.0000
0.0000 4.5858 0.0000
0.0000 0.0000 4.5858
Mg Fe I
1 3 1
direct
0.0000 0.0000 0.0000 Mg
0.0000 0.5000 0.5000 Fe
0.5000 0.0000 0.5000 Fe
0.5000 0.5000 0.0000 Fe
0.5000 0.5000 0.5000 I
```

Summary:
Density of states at the Fermi level   3.194 states/eV/cell
Space group   Pm-3m, No. 221

---

6.
First-principles (GGA-PBEsol) data for a relaxed structure of MgFe2SnI, as listed in the Alexandria database.

```
MgFe2SnI
1.0
4.8711 0.0000 0.0000
0.0000 4.8711 0.0000
0.0000 0.0000 6.1985
Mg Fe Sn I
1 2 1 1
direct
0.0000 0.0000 0.0000 Mg
0.0000 0.5000 0.5000 Fe
0.5000 0.0000 0.5000 Fe
0.5000 0.5000 0.5000 Sn
0.5000 0.5000 0.0000 I
```

Summary:
Density of states at the Fermi level   8.030 states/eV/cell
Space group   P4/mmm, No. 123

---

7.
First-principles (GGA-PBEsol) data for a relaxed structure of MnFeI2N, as listed in the Alexandria database.

```
MnFeI2N
1.0
5.2823 0.0000 0.0000
0.0000 5.2823 0.0000
0.0000 0.0000 3.4687
Mn Fe I N
1 1 2 1
direct
0.0000 0.0000 0.0000 Mn
0.5000 0.5000 0.5000 Fe
0.0000 0.5000 0.5000 I
0.5000 0.0000 0.5000 I
0.5000 0.5000 0.0000 N
```

Summary:
Density of states at the Fermi level   3.078 states/eV/cell
Space group   P4/mmm, No. 123

---

8.
First-principles (GGA-PBEsol) data for a relaxed structure of FeMoIN2, as listed in the Alexandria database.

```
FeMoIN2
1.0
3.8624 0.0000 0.0000
0.0000 3.8624 0.0000
0.0000 0.0000 5.6481
Fe Mo I N
1 1 1 2
direct
0.0000 0.0000 0.0000 Fe
0.5000 0.5000 0.5000 Mo
0.5000 0.5000 0.0000 I
0.0000 0.5000 0.5000 N
0.5000 0.0000 0.5000 N
```

Summary:
Density of states at the Fermi level   7.840 states/eV/cell
Space group   P4/mmm, No. 123

---

9.
First-principles (GGA-PBEsol) data for a relaxed structure of FeMoIO2, as listed in the Alexandria database.

```
FeMoIO2
1.0
3.7930 0.0000 0.0000
0.0000 3.7930 0.0000
0.0000 0.0000 5.8705
Fe Mo I O
1 1 1 2
direct
0.0000 0.0000 0.0000 Fe
0.5000 0.5000 0.5000 Mo
0.5000 0.5000 0.0000 I
0.0000 0.5000 0.5000 O
0.5000 0.0000 0.5000 O
```

Summary:
Density of states at the Fermi level   7.482 states/eV/cell
Space group   P4/mmm, No. 123

---

10.
First-principles (GGA-PBEsol) data for a relaxed structure of FeSbMoI2, as listed in the Alexandria database.

```
FeSbMoI2
1.0
5.2692 0.0000 0.0000
0.0000 5.2692 0.0000
0.0000 0.0000 4.8071
Fe Sb Mo I
1 1 1 2
direct
0.0000 0.0000 0.0000 Fe
0.0000 0.0000 0.5000 Sb
0.5000 0.5000 0.5000 Mo
0.0000 0.5000 0.0000 I
0.5000 0.0000 0.0000 I
```

Summary:
Density of states at the Fermi level   7.181 states/eV/cell
Space group   P4/mmm, No. 123

---

11.
First-principles (GGA-PBEsol) data for a relaxed structure of Fe2I2N, as listed in the Alexandria database.

```
Fe2I2N
1.0
3.7144 0.0000 0.0000
0.0000 3.7144 0.0000
0.0000 0.0000 15.6822
Fe I N
4 4 2
direct
0.0000 0.5000 0.2500 Fe
0.0000 0.5000 0.7500 Fe
0.5000 0.0000 0.2500 Fe
0.5000 0.0000 0.7500 Fe
0.0000 0.0000 0.1292 I
0.0000 0.0000 0.8708 I
0.5000 0.5000 0.3708 I
0.5000 0.5000 0.6292 I
0.0000 0.0000 0.5000 N
0.5000 0.5000 0.0000 N
```

Summary:
Density of states at the Fermi level   5.574 states/eV/cell
Space group   I4/mmm, No. 139

---

12.
First-principles (GGA-PBEsol) data for a relaxed structure of NbFeI2N, as listed in the Alexandria database.

```
NbFeI2N
1.0
5.5971 0.0000 0.0000
0.0000 5.5971 0.0000
0.0000 0.0000 3.8787
Nb Fe I N
1 1 2 1
direct
0.0000 0.0000 0.0000 Nb
0.5000 0.5000 0.5000 Fe
0.0000 0.5000 0.0000 I
0.5000 0.0000 0.0000 I
0.0000 0.0000 0.5000 N
```

Summary:
Density of states at the Fermi level   4.768 states/eV/cell
Space group   P4/mmm, No. 123

---

no.,calculated total energy (eV per atom)
1,-3.295
2,-3.861
3,-2.014
4,-3.368
5,-4.786
6,-3.990
7,-5.679
8,-7.059
9,-7.053
10,-4.549
11,-4.851
12,-5.734